Compound: PuSbCl
Source: Alexandria
Functional: PBE
Structure: optimized geometry

a = 8.3670 Å, b = 7.4793 Å, c = 5.8921 Å
α = 90.00°, β = 110.22°, γ = 90.00°
Sites, in units of the cell vectors:
Pu: 0.2374 0.0520 0.3715
Pu: 0.2374 0.4480 0.8715
Pu: 0.7626 0.5520 0.1285
Pu: 0.7626 0.9480 0.6285
Sb: 0.4561 0.7496 0.2291
Sb: 0.4561 0.7504 0.7291
Sb: 0.5439 0.2496 0.2709
Sb: 0.5439 0.2504 0.7709
Cl: 0.1007 0.0954 0.7998
Cl: 0.1007 0.4046 0.2998
Cl: 0.8993 0.5954 0.7002
Cl: 0.8993 0.9046 0.2002

Computed properties:
As for the polymorph energy (0 for the lowest one): 0.07 eV per formula unit. The value obtained for the energy relative to the elements, uncorrected is -3.1 eV per formula unit. As for the space-group type: P2_1/c.



Compound: Y3Er2Sc
Source: Alexandria
Functional: PBE
Structure: optimized geometry

a = 6.1307 Å, b = 7.0876 Å, c = 8.6615 Å
α = 78.19°, β = 83.14°, γ = 89.98°
Sites, in units of the cell vectors:
Y: 0.1343 0.4596 0.1712
Y: 0.1450 0.9575 0.1654
Y: 0.2505 0.1280 0.5028
Y: 0.7495 0.8720 0.4972
Y: 0.8550 0.0425 0.8346
Y: 0.8657 0.5404 0.8288
Er: 0.3593 0.7886 0.8315
Er: 0.3660 0.2967 0.8296
Er: 0.6340 0.7033 0.1704
Er: 0.6407 0.2114 0.1685
Sc: 0.2525 0.6226 0.5004
Sc: 0.7475 0.3774 0.4996

Computed properties:
As for the polymorph energy (0 for the lowest one): 0.00 eV per formula unit. The calculation puts the formation energy from the elements at 0.02 eV/atom. As for the space-group type: P-1.



Compound: Sr2HgSb
Source: Alexandria
Functional: PBE
Structure: optimized geometry

a = 4.5096 Å, b = 4.9236 Å, c = 12.1992 Å
α = 90.00°, β = 90.00°, γ = 90.00°
Sites, in units of the cell vectors:
Sr: 0.0000 0.0000 0.0000
Sr: 0.0000 0.5000 0.2387
Sr: 0.5000 0.0000 0.7387
Sr: 0.5000 0.5000 0.5000
Hg: 0.0000 0.5000 0.7754
Hg: 0.5000 0.0000 0.2754
Sb: 0.0000 0.0000 0.4650
Sb: 0.5000 0.5000 0.9650

Computed properties:
As for the polymorph energy (0 for the lowest one): 0.63 eV per formula unit. The value obtained for the energy relative to the elements, uncorrected is -2.6 eV per formula unit. As for the space-group type: Imm2.



Compound: CuPd6Pt3
Source: Alexandria
Functional: PBE
Structure: optimized geometry

a = 5.1020 Å, b = 5.1020 Å, c = 7.0696 Å
α = 90.00°, β = 90.00°, γ = 120.00°
Sites, in units of the cell vectors:
Cu: 0.0000 0.0000 0.0000
Pd: 0.0000 0.4015 0.8169
Pd: 0.0000 0.5985 0.1831
Pd: 0.4015 0.0000 0.8169
Pd: 0.4015 0.4015 0.1831
Pd: 0.5985 0.0000 0.1831
Pd: 0.5985 0.5985 0.8169
Pt: 0.0000 0.0000 0.5000
Pt: 0.3333 0.6667 0.5000
Pt: 0.6667 0.3333 0.5000

Computed properties:
As for the polymorph energy (0 for the lowest one): 2.47 eV per formula unit. The calculation puts the formation energy from the elements at 0.21 eV/atom. As for the space-group type: P-31m.



Compound: K2PuSe2Cl2
Source: Alexandria
Functional: PBE
Structure: optimized geometry

a = 5.5006 Å, b = 5.5006 Å, c = 16.0626 Å
α = 90.00°, β = 90.00°, γ = 90.00°
Sites, in units of the cell vectors:
K: 0.0000 0.0000 0.1382
K: 0.0000 0.0000 0.8618
K: 0.5000 0.5000 0.3618
K: 0.5000 0.5000 0.6382
Pu: 0.0000 0.0000 0.5000
Pu: 0.5000 0.5000 0.0000
Se: 0.0000 0.5000 0.0000
Se: 0.0000 0.5000 0.5000
Se: 0.5000 0.0000 0.0000
Se: 0.5000 0.0000 0.5000
Cl: 0.0000 0.0000 0.3310
Cl: 0.0000 0.0000 0.6690
Cl: 0.5000 0.5000 0.1690
Cl: 0.5000 0.5000 0.8310

Computed properties:
The value obtained for the energy relative to the elements, uncorrected is -10.9 eV per formula unit. As for the space-group type: I4/mmm.



Compound: AlAgCl2
Source: Alexandria
Functional: PBE
Structure: optimized geometry

a = 7.0039 Å, b = 7.0039 Å, c = 7.0039 Å
α = 90.00°, β = 90.00°, γ = 90.00°
Sites, in units of the cell vectors:
Al: 0.0000 0.0000 0.0000
Al: 0.0000 0.5000 0.5000
Al: 0.5000 0.0000 0.5000
Al: 0.5000 0.5000 0.0000
Ag: 0.2500 0.2500 0.7500
Ag: 0.2500 0.7500 0.2500
Ag: 0.7500 0.2500 0.2500
Ag: 0.7500 0.7500 0.7500
Cl: 0.0000 0.0000 0.5000
Cl: 0.0000 0.5000 0.0000
Cl: 0.2500 0.2500 0.2500
Cl: 0.2500 0.7500 0.7500
Cl: 0.5000 0.0000 0.0000
Cl: 0.5000 0.5000 0.5000
Cl: 0.7500 0.2500 0.7500
Cl: 0.7500 0.7500 0.2500

Computed properties:
As for the polymorph energy (0 for the lowest one): 2.97 eV per formula unit. The value obtained for the energy relative to the elements, uncorrected is 0.0 eV per formula unit. As for the space-group type: F-43m.



Compound: Na2HgBi2Pd2
Source: Alexandria
Functional: PBE
Structure: optimized geometry

a = 5.1222 Å, b = 5.1222 Å, c = 15.7533 Å
α = 90.00°, β = 90.00°, γ = 90.00°
Sites, in units of the cell vectors:
Na: 0.0000 0.0000 0.1858
Na: 0.0000 0.0000 0.8142
Na: 0.5000 0.5000 0.3142
Na: 0.5000 0.5000 0.6858
Hg: 0.0000 0.0000 0.0000
Hg: 0.5000 0.5000 0.5000
Bi: 0.0000 0.0000 0.3990
Bi: 0.0000 0.0000 0.6010
Bi: 0.5000 0.5000 0.1010
Bi: 0.5000 0.5000 0.8990
Pd: 0.0000 0.5000 0.0000
Pd: 0.0000 0.5000 0.5000
Pd: 0.5000 0.0000 0.0000
Pd: 0.5000 0.0000 0.5000

Computed properties:
The calculation puts the formation energy from the elements at -0.10 eV/atom. As for the space-group type: I4/mmm.



Compound: LiTmScSi
Source: Alexandria
Functional: PBE
Structure: optimized geometry

a = 6.7510 Å, b = 6.7510 Å, c = 6.7510 Å
α = 90.00°, β = 90.00°, γ = 90.00°
Sites, in units of the cell vectors:
Li: 0.0000 0.0000 0.0000
Li: 0.0000 0.5000 0.5000
Li: 0.5000 0.0000 0.5000
Li: 0.5000 0.5000 0.0000
Tm: 0.2500 0.2500 0.2500
Tm: 0.2500 0.7500 0.7500
Tm: 0.7500 0.2500 0.7500
Tm: 0.7500 0.7500 0.2500
Sc: 0.2500 0.2500 0.7500
Sc: 0.2500 0.7500 0.2500
Sc: 0.7500 0.2500 0.2500
Sc: 0.7500 0.7500 0.7500
Si: 0.0000 0.0000 0.5000
Si: 0.0000 0.5000 0.0000
Si: 0.5000 0.0000 0.0000
Si: 0.5000 0.5000 0.5000

Computed properties:
The value obtained for the energy relative to the elements, uncorrected is -1.5 eV per formula unit. As for the space-group type: F-43m.